[1]
! SmDy2Ag (PBE-GGA, optimized geometry); values from VASP
! E_tot (eV per atom): -4.18
! Total moment (μB per cell): 0.00
! E above lowest polymorph (eV per atom): 0.1496
&SYSTEM
  ibrav = 0, nat = 4, ntyp = 3
/
ATOMIC_SPECIES
Ag 107.87 Ag.upf
Sm 150.36 Sm.upf
Dy 162.50 Dy.upf
CELL_PARAMETERS angstrom
3.682 0.000 0.000
0.000 5.481 0.000
0.000 0.000 5.481
ATOMIC_POSITIONS crystal
Ag 0.500 0.500 0.500
Sm 0.500 0.000 0.000
Dy 0.000 0.000 0.500
Dy 0.000 0.500 0.000

---

[2]
! Sm3DyAg (PBE-GGA, optimized geometry); values from VASP
! E_tot (eV per atom): -4.30
! Total moment (μB per cell): 0.00
&SYSTEM
  ibrav = 0, nat = 10, ntyp = 3
/
ATOMIC_SPECIES
Sm 150.36 Sm.upf
Dy 162.50 Dy.upf
Ag 107.87 Ag.upf
CELL_PARAMETERS angstrom
-1.101 3.750 -5.599
-4.528 -5.071 0.635
-2.361 3.069 7.710
ATOMIC_POSITIONS crystal
Sm 0.739 0.920 0.154
Sm 0.234 0.415 0.154
Sm 0.766 0.585 0.846
Sm 0.811 0.450 0.261
Sm 0.261 0.080 0.846
Sm 0.189 0.550 0.739
Dy 0.685 0.057 0.742
Dy 0.315 0.943 0.258
Ag 0.738 0.760 0.498
Ag 0.262 0.240 0.502

---

Question: What is the formula in the first record?
Answer: SmDy2Ag

---

Question: What is the E_tot in the second record?
Answer: -4.30 eV per atom

---

Question: The lowest E_tot belongs to which entry?
Answer: Sm3DyAg